Below is a relaxed structure of LiNd2CrO5, with properties calculated at the PBE+U level.

Computed properties:
total DFT energy (no corrections): -65.53 eV/f.u.
calculated density: 5.41 g/cm3
volume: 262.6 Å³ per cell
SG: P4/mbm

Structure (extended XYZ):
```
18
Lattice="6.748 0.000 0.000 0.000 6.748 0.000 0.000 0.000 5.768" Properties=species:S:1:pos:R:3 pbc="T T T"
Li 0.000 0.000 0.000
Li 3.374 3.374 0.000
Nd 1.200 2.174 2.884
Nd 2.174 5.548 2.884
Nd 4.574 1.200 2.884
Nd 5.548 4.574 2.884
Cr 0.000 3.374 0.000
Cr 3.374 0.000 0.000
O 0.000 0.000 2.884
O 0.914 4.288 1.388
O 0.914 4.288 4.379
O 2.459 0.914 1.388
O 2.459 0.914 4.379
O 3.374 3.374 2.884
O 4.288 5.833 1.388
O 4.288 5.833 4.379
O 5.833 2.459 1.388
O 5.833 2.459 4.379
```